Record 1
4
Lattice="2.7567 0.0000 0.0000 0.0000 3.4621 0.0000 0.0000 0.0000 5.1471" Properties=species:S:1:pos:R:3 comment="FeNi2As (PBE, optimized geometry)" vol_a3_per_atom=12.3 energy_ev_per_atom=-6.159 e_form_mev_per_atom=9 density_g_cm3=8.388 pbc="T T T"
As 0.0000 0.0000 2.5005
Fe 1.3783 1.7310 3.9510
Ni 0.0000 0.0000 5.1251
Ni 1.3783 1.7310 1.2912

***

Record 2
5
Lattice="4.8855 0.0000 0.0000 0.0000 4.1034 0.0000 0.0000 0.0000 4.8855" Properties=species:S:1:pos:R:3 comment="TaMnCoTe2 (PBE, optimized geometry)" vol_a3_per_atom=19.6 energy_ev_per_atom=-5.846 density_g_cm3=9.326 e_form_raw_mev_per_atom=1036 pbc="T T T"
Te 0.0000 0.0000 2.4427
Te 2.4427 0.0000 0.0000
Co 0.0000 0.0000 0.0000
Mn 0.0000 2.0517 0.0000
Ta 2.4427 2.0517 2.4427

***

Record 3
18
Lattice="-2.9402 -6.0069 -1.4970 8.9009 -4.3728 0.0647 -5.3267 0.5268 8.3478" Properties=species:S:1:pos:R:3 comment="La5PuPb3 (PBE, optimized geometry)" vol_a3_per_atom=32.4 energy_ev_per_atom=-6.002 e_form_mev_per_atom=-436 density_g_cm3=8.877 pbc="T T T"
La 4.1584 -2.7396 2.8259
La -2.0542 -4.1098 4.8381
La -0.5841 -1.1063 5.5866
La 2.6883 -5.7431 2.0774
La 0.2443 -7.1409 4.6427
La 5.0195 -8.7122 1.5686
La 0.5954 -5.8811 -1.1024
La 0.3898 -2.7120 2.2728
La -4.3855 -1.1407 5.3469
La 5.3653 -4.4987 -0.3299
Pu 0.0000 0.0000 0.0000
Pu -1.4701 -3.0035 -0.7485
Pb -0.9676 -5.8370 1.7906
Pb 3.2135 -8.5335 4.3987
Pb 3.6132 -7.3636 -1.0805
Pb 1.6017 -4.0159 5.1248
Pb -2.5794 -1.3194 2.5167
Pb 2.3475 -3.0161 -0.3518